# 1
# AcPmN2, optimized geometry, DFT PBE-GGA
# - SG = R3m, No. 160
# - electronic total energy (eV/f.u.) = -29.63
# - energy relative to the elements, uncorrected (eV/f.u.) = -4.12
data_AcPmN2
_chemical_formula_sum 'Ac1 Pm1 N2'
_symmetry_space_group_name_H-M 'P 1'
_symmetry_Int_Tables_number 1
_cell_length_a 6.779
_cell_length_b 6.779
_cell_length_c 6.779
_cell_angle_alpha 31.46
_cell_angle_beta 31.46
_cell_angle_gamma 31.46
loop_
_symmetry_equiv_pos_as_xyz
'x,y,z'
loop_
_atom_site_label
_atom_site_type_symbol
_atom_site_fract_x
_atom_site_fract_y
_atom_site_fract_z
Ac1 Ac 0.000 0.000 0.000
Pm1 Pm 0.170 0.170 0.170
N1 N 0.435 0.435 0.435
N2 N 0.594 0.594 0.594

# 2
# ZnFe2P, optimized geometry, DFT PBE-GGA
# - SG = P4/mmm, No. 123
# - electronic total energy (eV/f.u.) = -23.41
# - formation energy (eV per atom) = 0.0508
# - DOS(E_F) (states/eV/f.u.) = 3.94
data_ZnFe2P
_chemical_formula_sum 'Zn1 Fe2 P1'
_symmetry_space_group_name_H-M 'P 1'
_symmetry_Int_Tables_number 1
_cell_length_a 3.704
_cell_length_b 3.704
_cell_length_c 3.570
_cell_angle_alpha 90.00
_cell_angle_beta 90.00
_cell_angle_gamma 90.00
loop_
_symmetry_equiv_pos_as_xyz
'x,y,z'
loop_
_atom_site_label
_atom_site_type_symbol
_atom_site_fract_x
_atom_site_fract_y
_atom_site_fract_z
Zn1 Zn 0.000 0.000 0.000
Fe1 Fe 0.000 0.500 0.500
Fe2 Fe 0.500 0.000 0.500
P1 P 0.500 0.500 0.000

# 3
# V4TcOs2, optimized geometry, DFT PBE-GGA
# - SG = I4/mmm, No. 139
# - electronic total energy (eV/f.u.) = -62.02
# - formation energy (eV per atom) = 1.0401
# - DOS(E_F) (states/eV/f.u.) = 11.06
data_V4TcOs2
_chemical_formula_sum 'V4 Tc1 Os2'
_symmetry_space_group_name_H-M 'P 1'
_symmetry_Int_Tables_number 1
_cell_length_a 6.957
_cell_length_b 6.957
_cell_length_c 6.957
_cell_angle_alpha 142.92
_cell_angle_beta 142.92
_cell_angle_gamma 53.45
loop_
_symmetry_equiv_pos_as_xyz
'x,y,z'
loop_
_atom_site_label
_atom_site_type_symbol
_atom_site_fract_x
_atom_site_fract_y
_atom_site_fract_z
V1 V 0.000 0.500 0.500
V2 V 0.197 0.197 0.000
V3 V 0.500 0.000 0.500
V4 V 0.803 0.803 0.000
Tc1 Tc 0.000 0.000 0.000
Os1 Os 0.383 0.383 0.000
Os2 Os 0.617 0.617 0.000

# 4
# AlPC, optimized geometry, DFT PBE-GGA
# - SG = P1, No. 1
# - electronic total energy (eV/f.u.) = -18.01
# - formation energy (eV per atom) = 0.1227
# - DOS(E_F) (states/eV/f.u.) = 0.07
data_AlPC
_chemical_formula_sum 'Al2 P2 C2'
_symmetry_space_group_name_H-M 'P 1'
_symmetry_Int_Tables_number 1
_cell_length_a 3.269
_cell_length_b 5.118
_cell_length_c 5.467
_cell_angle_alpha 70.53
_cell_angle_beta 89.66
_cell_angle_gamma 89.61
loop_
_symmetry_equiv_pos_as_xyz
'x,y,z'
loop_
_atom_site_label
_atom_site_type_symbol
_atom_site_fract_x
_atom_site_fract_y
_atom_site_fract_z
Al1 Al 0.000 0.000 0.000
Al2 Al 0.463 0.501 0.428
P1 P 0.510 0.021 0.473
P2 P 0.950 0.503 0.740
C1 C 0.001 0.886 0.675
C2 C 0.498 0.896 0.208

# 5
# CaCoW2, optimized geometry, DFT PBE-GGA
# - SG = Pmmm, No. 47
# - electronic total energy (eV/f.u.) = -31.37
# - formation energy (eV per atom) = 0.9118
# - DOS(E_F) (states/eV/f.u.) = 4.10
data_CaCoW2
_chemical_formula_sum 'Ca1 Co1 W2'
_symmetry_space_group_name_H-M 'P 1'
_symmetry_Int_Tables_number 1
_cell_length_a 2.654
_cell_length_b 4.876
_cell_length_c 5.317
_cell_angle_alpha 90.00
_cell_angle_beta 90.00
_cell_angle_gamma 90.00
loop_
_symmetry_equiv_pos_as_xyz
'x,y,z'
loop_
_atom_site_label
_atom_site_type_symbol
_atom_site_fract_x
_atom_site_fract_y
_atom_site_fract_z
Ca1 Ca 0.000 0.000 0.000
Co1 Co 0.000 0.000 0.500
W1 W 0.500 0.500 0.255
W2 W 0.500 0.500 0.745

# 6
# Mn3HgW, optimized geometry, DFT PBE-GGA
# - SG = Pm-3m, No. 221
# - electronic total energy (eV/f.u.) = -34.16
# - formation energy (eV per atom) = 1.3207
# - DOS(E_F) (states/eV/f.u.) = 7.32
data_Mn3HgW
_chemical_formula_sum 'Mn3 Hg1 W1'
_symmetry_space_group_name_H-M 'P 1'
_symmetry_Int_Tables_number 1
_cell_length_a 4.671
_cell_length_b 4.671
_cell_length_c 4.671
_cell_angle_alpha 90.00
_cell_angle_beta 90.00
_cell_angle_gamma 90.00
loop_
_symmetry_equiv_pos_as_xyz
'x,y,z'
loop_
_atom_site_label
_atom_site_type_symbol
_atom_site_fract_x
_atom_site_fract_y
_atom_site_fract_z
Mn1 Mn 0.000 0.000 0.500
Mn2 Mn 0.000 0.500 0.000
Mn3 Mn 0.500 0.000 0.000
Hg1 Hg 0.500 0.500 0.500
W1 W 0.000 0.000 0.000

# 7
# TaTc2Te, optimized geometry, DFT PBE-GGA
# - SG = Imm2, No. 44
# - electronic total energy (eV/f.u.) = -35.03
# - energy relative to the elements, uncorrected (eV/f.u.) = 0.69
# - DOS(E_F) (states/eV/f.u.) = 3.54
data_TaTc2Te
_chemical_formula_sum 'Ta1 Tc2 Te1'
_symmetry_space_group_name_H-M 'P 1'
_symmetry_Int_Tables_number 1
_cell_length_a 5.395
_cell_length_b 5.395
_cell_length_c 5.395
_cell_angle_alpha 144.60
_cell_angle_beta 131.44
_cell_angle_gamma 61.51
loop_
_symmetry_equiv_pos_as_xyz
'x,y,z'
loop_
_atom_site_label
_atom_site_type_symbol
_atom_site_fract_x
_atom_site_fract_y
_atom_site_fract_z
Ta1 Ta 0.000 0.000 0.000
Tc1 Tc 0.245 0.745 0.500
Tc2 Tc 0.510 0.510 0.000
Te1 Te 0.745 0.245 0.500

# 8
# Ce2BeGa4Pt3, optimized geometry, DFT PBE-GGA
# - SG = P-4m2, No. 115
# - electronic total energy (eV/f.u.) = -53.61
# - formation energy (eV per atom) = -0.7785
# - DOS(E_F) (states/eV/f.u.) = 11.40
data_Ce2BeGa4Pt3
_chemical_formula_sum 'Ce2 Be1 Ga4 Pt3'
_symmetry_space_group_name_H-M 'P 1'
_symmetry_Int_Tables_number 1
_cell_length_a 4.192
_cell_length_b 4.192
_cell_length_c 10.644
_cell_angle_alpha 90.00
_cell_angle_beta 90.00
_cell_angle_gamma 90.00
loop_
_symmetry_equiv_pos_as_xyz
'x,y,z'
loop_
_atom_site_label
_atom_site_type_symbol
_atom_site_fract_x
_atom_site_fract_y
_atom_site_fract_z
Ce1 Ce 0.000 0.500 0.248
Ce2 Ce 0.500 0.000 0.752
Be1 Be 0.500 0.500 0.000
Ga1 Ga 0.000 0.000 0.500
Ga2 Ga 0.000 0.500 0.874
Ga3 Ga 0.500 0.000 0.126
Ga4 Ga 0.500 0.500 0.500
Pt1 Pt 0.000 0.000 0.000
Pt2 Pt 0.000 0.500 0.639
Pt3 Pt 0.500 0.000 0.361

# 9
# Cu5As, optimized geometry, DFT PBE-GGA
# - SG = P-62m, No. 189
# - electronic total energy (eV/f.u.) = -24.89
# - formation energy (eV per atom) = 0.0395
# - DOS(E_F) (states/eV/f.u.) = 3.00
data_Cu5As
_chemical_formula_sum 'Cu5 As1'
_symmetry_space_group_name_H-M 'P 1'
_symmetry_Int_Tables_number 1
_cell_length_a 4.592
_cell_length_b 4.592
_cell_length_c 4.200
_cell_angle_alpha 90.00
_cell_angle_beta 90.00
_cell_angle_gamma 120.00
loop_
_symmetry_equiv_pos_as_xyz
'x,y,z'
loop_
_atom_site_label
_atom_site_type_symbol
_atom_site_fract_x
_atom_site_fract_y
_atom_site_fract_z
Cu1 Cu 0.000 0.661 0.000
Cu2 Cu 0.333 0.667 0.500
Cu3 Cu 0.339 0.339 0.000
Cu4 Cu 0.661 0.000 0.000
Cu5 Cu 0.667 0.333 0.500
As1 As 0.000 0.000 0.500

# 10
# AcDyHoPb, optimized geometry, DFT PBE-GGA
# - SG = F-43m, No. 216
# - electronic total energy (eV/f.u.) = -17.16
# - formation energy (eV per atom) = -0.0420
# - DOS(E_F) (states/eV/f.u.) = 6.34
data_AcDyHoPb
_chemical_formula_sum 'Ac1 Dy1 Ho1 Pb1'
_symmetry_space_group_name_H-M 'P 1'
_symmetry_Int_Tables_number 1
_cell_length_a 5.603
_cell_length_b 5.603
_cell_length_c 5.603
_cell_angle_alpha 60.00
_cell_angle_beta 60.00
_cell_angle_gamma 60.00
loop_
_symmetry_equiv_pos_as_xyz
'x,y,z'
loop_
_atom_site_label
_atom_site_type_symbol
_atom_site_fract_x
_atom_site_fract_y
_atom_site_fract_z
Ac1 Ac 0.000 0.000 0.000
Dy1 Dy 0.750 0.750 0.750
Ho1 Ho 0.250 0.250 0.250
Pb1 Pb 0.500 0.500 0.500

# 11
# ScTi3Te, optimized geometry, DFT PBE-GGA
# - SG = Pm-3m, No. 221
# - electronic total energy (eV/f.u.) = -28.03
# - energy relative to the elements, uncorrected (eV/f.u.) = 5.13
# - DOS(E_F) (states/eV/f.u.) = 6.73
data_ScTi3Te
_chemical_formula_sum 'Sc1 Ti3 Te1'
_symmetry_space_group_name_H-M 'P 1'
_symmetry_Int_Tables_number 1
_cell_length_a 4.786
_cell_length_b 4.786
_cell_length_c 4.786
_cell_angle_alpha 90.00
_cell_angle_beta 90.00
_cell_angle_gamma 90.00
loop_
_symmetry_equiv_pos_as_xyz
'x,y,z'
loop_
_atom_site_label
_atom_site_type_symbol
_atom_site_fract_x
_atom_site_fract_y
_atom_site_fract_z
Sc1 Sc 0.000 0.000 0.000
Ti1 Ti 0.000 0.000 0.500
Ti2 Ti 0.000 0.500 0.000
Ti3 Ti 0.500 0.000 0.000
Te1 Te 0.500 0.500 0.500

Q: Which formula does entry 4 have?
A: AlPC